# Sr2ZnGa

A geometry-optimized Sr2ZnGa structure (PBE, OQMD via LeMat-Bulk).

E: -0.0699 hartree per atom

a b c (Å): 5.393 5.393 5.393
angles (deg): 60.00 60.00 60.00
Fractional positions:
Sr  0.000  0.000  0.000
Sr  0.750  0.750  0.750
Ga  0.500  0.500  0.500
Zn  0.250  0.250  0.250